(1)
Here is a relaxed structure of Zn2Ge2P from Alexandria. Energies are from GGA-PBEsol.

Cell lengths 3.4937, 3.4937, 7.4869 Å; angles 103.49, 103.49, 90.00 degrees
With the nearest neighbours (Å) after each atom.
Fractional positions:
P 0.0000 0.0000 0.0000  8 Zn 2.76
Ge 0.2500 0.7500 0.5000  4 Ge 2.47
Ge 0.7500 0.2500 0.5000  4 Ge 2.47
Zn 0.4129 0.4129 0.8257  1 Zn 2.46
Zn 0.5871 0.5871 0.1743  1 Zn 2.46

Results
Energy relative to the elements = 0.38 eV/atom

***

(2)
Here is a relaxed structure of ZnGeP2 from Alexandria. Energies are from GGA-PBEsol.

Cell lengths 3.7964, 3.7964, 5.4478 Å; angles 90.00, 90.00, 90.00 degrees
With the nearest neighbours (Å) after each atom.
Fractional positions:
P 0.0000 0.5000 0.2452  2 Zn 2.32, 2 Ge 2.35
P 0.5000 0.0000 0.7548  2 Zn 2.32, 2 Ge 2.35
Ge 0.5000 0.5000 0.5000  4 P 2.35
Zn 0.0000 0.0000 0.0000  4 P 2.32

Results
Energy above the most stable polymorph in this dataset = 0.026 eV per atom
Energy relative to the elements = -0.17 eV/atom

***

(3)
Here is a relaxed structure of ZnGeP2 from Alexandria. Energies are from GGA-PBEsol.

Cell lengths 5.4231, 5.4231, 6.5805 Å; angles 114.33, 114.33, 90.00 degrees
With the nearest neighbours (Å) after each atom.
Fractional positions:
P 0.3728 0.8750 0.2500  2 Ge 2.33, 2 Zn 2.34
P 0.8772 0.3750 0.2500  2 Ge 2.33, 2 Zn 2.34
P 0.1250 0.1228 0.7500  2 Ge 2.33, 2 Zn 2.34
P 0.6250 0.6272 0.7500  2 Ge 2.33, 2 Zn 2.34
Ge 0.2500 0.7500 0.5000  4 P 2.33
Ge 0.0000 0.0000 0.0000  4 P 2.33
Zn 0.7500 0.2500 0.5000  4 P 2.34
Zn 0.5000 0.5000 0.0000  4 P 2.34

Results
Energy above the most stable polymorph in this dataset = 0.000 eV per atom
Energy relative to the elements = -0.19 eV/atom

***

(4)
Here is a relaxed structure of PaGe3 from Alexandria. Energies are from GGA-PBEsol.

Cell lengths 4.2111, 4.2111, 4.2111 Å; angles 90.00, 90.00, 90.00 degrees
With the nearest neighbours (Å) after each atom.
Fractional positions:
Ge 0.0000 0.5000 0.5000  8 Ge 2.98, 4 Pa 2.98
Ge 0.5000 0.0000 0.5000  8 Ge 2.98, 4 Pa 2.98
Ge 0.5000 0.5000 0.0000  8 Ge 2.98, 4 Pa 2.98
Pa 0.0000 0.0000 0.0000  12 Ge 2.98

Results
Energy relative to the elements = -0.52 eV/atom

***

(5)
Here is a relaxed structure of Pa3Ge from Alexandria. Energies are from GGA-PBEsol.

Cell lengths 4.4233, 4.4233, 4.4233 Å; angles 90.00, 90.00, 90.00 degrees
With the nearest neighbours (Å) after each atom.
Fractional positions:
Ge 0.0000 0.0000 0.0000  12 Pa 3.13
Pa 0.5000 0.0000 0.5000  4 Ge 3.13, 8 Pa 3.13
Pa 0.0000 0.5000 0.5000  4 Ge 3.13, 8 Pa 3.13
Pa 0.5000 0.5000 0.0000  4 Ge 3.13, 8 Pa 3.13

Results
Energy relative to the elements = -0.32 eV/atom

***

(6)
Here is a relaxed structure of GePdPb3 from Alexandria. Energies are from GGA-PBEsol.

Cell lengths 5.2597, 5.2597, 5.2597 Å; angles 90.00, 90.00, 90.00 degrees
With the nearest neighbours (Å) after each atom.
Fractional positions:
Pb 0.0000 0.5000 0.0000  2 Pd 2.63
Pb 0.0000 0.0000 0.5000  2 Pd 2.63
Pb 0.5000 0.0000 0.0000  2 Pd 2.63
Ge 0.5000 0.5000 0.5000  12 Pb 3.72
Pd 0.0000 0.0000 0.0000  6 Pb 2.63

Results
Energy relative to the elements = 0.32 eV/atom

***

(7)
Here is a relaxed structure of ReGe2PdPb from Alexandria. Energies are from GGA-PBEsol.

Cell lengths 4.7159, 4.7159, 5.2791 Å; angles 90.00, 90.00, 90.00 degrees
With the nearest neighbours (Å) after each atom.
Fractional positions:
Pb 0.0000 0.0000 0.5000  2 Re 2.64
Re 0.0000 0.0000 0.0000  4 Ge 2.36, 2 Pb 2.64
Ge 0.0000 0.5000 0.0000  2 Re 2.36
Ge 0.5000 0.0000 0.0000  2 Re 2.36
Pd 0.5000 0.5000 0.5000  4 Pb 3.33, 8 Ge 3.54

Results
Energy relative to the elements = 0.64 eV/atom

***

(8)
Here is a relaxed structure of Ge2PtPbS from Alexandria. Energies are from GGA-PBEsol.

Cell lengths 4.6187, 4.6187, 5.3168 Å; angles 90.00, 90.00, 90.00 degrees
With the nearest neighbours (Å) after each atom.
Fractional positions:
Pb 0.0000 0.0000 0.5000  2 S 2.66
Ge 0.0000 0.5000 0.0000  2 S 2.31
Ge 0.5000 0.0000 0.0000  2 S 2.31
S 0.0000 0.0000 0.0000  4 Ge 2.31
Pt 0.5000 0.5000 0.5000  4 Pb 3.27, 8 Ge 3.52

Results
ΔE_f (raw) = 0.711 eV/atom

***

(9)
Here is a relaxed structure of RbGe2Pb2 from Alexandria. Energies are from GGA-PBEsol.

Cell lengths 4.9939, 4.9939, 6.9339 Å; angles 111.11, 111.11, 90.00 degrees
With the nearest neighbours (Å) after each atom.
Fractional positions:
Pb 0.2500 0.7500 0.5000  4 Ge 3.01
Pb 0.7500 0.2500 0.5000  4 Ge 3.01
Ge 0.3901 0.3901 0.7802  1 Ge 2.62
Ge 0.6099 0.6099 0.2198  1 Ge 2.62
Rb 0.0000 0.0000 0.0000  8 Ge 3.77, 8 Pb 3.89

Results
Energy relative to the elements = -0.01 eV/atom

***

(10)
Here is a relaxed structure of ReGe2Pb2 from Alexandria. Energies are from GGA-PBEsol.

Cell lengths 4.0310, 4.0310, 7.8740 Å; angles 104.83, 104.83, 90.00 degrees
With the nearest neighbours (Å) after each atom.
Fractional positions:
Pb 0.2500 0.7500 0.5000  4 Pb 2.85, 4 Ge 3.19
Pb 0.7500 0.2500 0.5000  4 Pb 2.85, 4 Ge 3.19
Re 0.0000 0.0000 0.0000  8 Ge 3.09
Ge 0.4185 0.4185 0.8370  1 Ge 2.39
Ge 0.5815 0.5815 0.1630  1 Ge 2.39

Results
Energy relative to the elements = 1.31 eV/atom

***

(11)
Here is a relaxed structure of ZnGe2RhPb from Alexandria. Energies are from GGA-PBEsol.

Cell lengths 4.7086, 4.7086, 4.8399 Å; angles 90.00, 90.00, 90.00 degrees
With the nearest neighbours (Å) after each atom.
Fractional positions:
Pb 0.5000 0.5000 0.5000  4 Zn 3.33, 8 Ge 3.38
Ge 0.0000 0.5000 0.0000  2 Rh 2.35
Ge 0.5000 0.0000 0.0000  2 Rh 2.35
Rh 0.0000 0.0000 0.0000  4 Ge 2.35, 2 Zn 2.42
Zn 0.0000 0.0000 0.5000  2 Rh 2.42

Results
Energy relative to the elements = 0.11 eV/atom

***

(12)
Here is a relaxed structure of GePb2S4 from Alexandria. Energies are from GGA-PBEsol.

Cell lengths 12.1698, 12.1698, 12.1698 Å; angles 108.31, 110.05, 110.05 degrees
With the nearest neighbours (Å) after each atom.
Fractional positions:
Ge 0.2984 0.6794 0.4264  4 S 2.21-2.25
Ge 0.2530 0.5736 0.8719  4 S 2.21-2.25
Ge 0.7530 0.6219 0.8236  4 S 2.21-2.25
Ge 0.2470 0.0706 0.8689  4 S 2.21-2.25
Ge 0.7470 0.6189 0.3206  4 S 2.21-2.25
Ge 0.7016 0.1281 0.3811  4 S 2.21-2.25
Ge 0.2016 0.1311 0.3781  4 S 2.21-2.25
Ge 0.7984 0.1764 0.9294  4 S 2.21-2.25
Pb 0.5000 0.1143 0.6143  4 S 2.85-2.86
Pb 0.2374 0.3750 0.1124  4 S 2.83-2.87
Pb 0.9125 0.3750 0.7875  6 S 2.94-3.04
Pb 0.7374 0.8624 0.6250  4 S 2.83-2.87
Pb 0.5110 0.3750 0.3860  4 S 2.83-2.87
Pb 0.2626 0.8876 0.1250  4 S 2.83-2.87
Pb 0.5000 0.3857 0.8857  4 S 2.85-2.86
Pb 0.7626 0.8750 0.1376  4 S 2.83-2.87
Pb 0.0110 0.1360 0.6250  4 S 2.83-2.87
Pb 0.5875 0.2125 0.1250  6 S 2.94-3.04
Pb 0.0000 0.6357 0.6357  4 S 2.85-2.86
Pb 0.0875 0.8750 0.4625  6 S 2.94-3.04
Pb 0.9890 0.6140 0.1250  4 S 2.83-2.87
Pb 0.0000 0.3643 0.3643  4 S 2.85-2.86
Pb 0.4890 0.8750 0.8640  4 S 2.83-2.87
Pb 0.4125 0.5375 0.6250  6 S 2.94-3.04
S 0.1173 0.4926 0.2410  1 Ge 2.25
S 0.2995 0.8494 0.3953  1 Ge 2.21
S 0.9690 0.1937 0.8935  1 Ge 2.22
S 0.1998 0.5563 0.0253  1 Ge 2.22
S 0.4690 0.6435 0.4437  1 Ge 2.22
S 0.7005 0.0958 0.5499  1 Ge 2.21
S 0.6998 0.7753 0.8063  1 Ge 2.22
S 0.3827 0.1253 0.3737  1 Ge 2.25
S 0.3002 0.1065 0.0755  1 Ge 2.22
S 0.5862 0.4178 0.6532  1 Ge 2.24
S 0.4541 0.6047 0.9042  1 Ge 2.21
S 0.5459 0.4501 0.1506  1 Ge 2.21
S 0.7484 0.6247 0.5074  1 Ge 2.25
S 0.0862 0.4032 0.6678  1 Ge 2.24
S 0.8002 0.8255 0.3565  1 Ge 2.22
S 0.9541 0.6542 0.8547  1 Ge 2.21
S 0.7354 0.3322 0.4184  1 Ge 2.24
S 0.5310 0.9747 0.1745  1 Ge 2.22
S 0.0459 0.9006 0.7001  1 Ge 2.21
S 0.2484 0.2574 0.8747  1 Ge 2.25
S 0.7516 0.6263 0.0090  1 Ge 2.25
S 0.9138 0.5816 0.3170  1 Ge 2.24
S 0.2354 0.1684 0.5822  1 Ge 2.24
S 0.0310 0.9245 0.2247  1 Ge 2.22
S 0.7646 0.3468 0.9330  1 Ge 2.24
S 0.2516 0.7590 0.8763  1 Ge 2.25
S 0.8827 0.1237 0.3753  1 Ge 2.25
S 0.7995 0.1453 0.0994  1 Ge 2.21
S 0.4138 0.0670 0.8316  1 Ge 2.24
S 0.2646 0.6830 0.5968  1 Ge 2.24
S 0.2005 0.2999 0.3458  1 Ge 2.21
S 0.6173 0.9910 0.7426  1 Ge 2.25

Results
Energy above the most stable polymorph in this dataset = 0.005 eV per atom
ΔE_f (raw) = -0.464 eV/atom

***

(13)
Here is a relaxed structure of Ge2PbS2 from Alexandria. Energies are from GGA-PBEsol.

Cell lengths 5.0200, 5.5580, 5.0200 Å; angles 63.15, 90.00, 116.85 degrees
With the nearest neighbours (Å) after each atom.
Fractional positions:
Pb 0.0000 0.0000 0.0000  2 Ge 2.94, 8 S 3.30
Ge 0.6558 0.3116 0.3442  4 S 2.64, 1 Ge 2.67, 1 Pb 2.94
Ge 0.3442 0.6884 0.6558  4 S 2.64, 1 Ge 2.67, 1 Pb 2.94
S 0.7500 0.5000 0.7500  4 Ge 2.64
S 0.2500 0.5000 0.2500  4 Ge 2.64

Results
ΔE_f (raw) = -0.021 eV/atom

***

(14)
Here is a relaxed structure of GePbS2 from Alexandria. Energies are from GGA-PBEsol.

Cell lengths 3.4970, 3.4970, 8.7502 Å; angles 78.47, 78.47, 60.00 degrees
With the nearest neighbours (Å) after each atom.
Fractional positions:
Pb 0.0000 0.0000 0.0000  2 S 2.86
Ge 0.5000 0.5000 0.5000  6 S 2.45
S 0.8880 0.8880 0.3360  3 Ge 2.45
S 0.1120 0.1120 0.6640  3 Ge 2.45

Results
ΔE_f (raw) = -0.253 eV/atom

***

(15)
Here is a relaxed structure of GePb2S from Alexandria. Energies are from GGA-PBEsol.

Cell lengths 5.0769, 5.0769, 5.0769 Å; angles 60.00, 60.00, 60.00 degrees
With the nearest neighbours (Å) after each atom.
Fractional positions:
Pb 0.2500 0.2500 0.2500  4 Ge 3.11, 4 S 3.11
Pb 0.7500 0.7500 0.7500  4 S 3.11, 4 Ge 3.11
Ge 0.5000 0.5000 0.5000  8 Pb 3.11
S 0.0000 0.0000 0.0000  8 Pb 3.11

Results
ΔE_f (raw) = 0.096 eV/atom

***

(16)
Here is a relaxed structure of GePb2S4 from Alexandria. Energies are from GGA-PBEsol.

Cell lengths 7.8604, 9.1660, 10.3318 Å; angles 90.00, 108.96, 90.00 degrees
With the nearest neighbours (Å) after each atom.
Fractional positions:
Ge 0.7102 0.1891 0.9945  4 S 2.21-2.23
Ge 0.7898 0.6891 0.5055  4 S 2.21-2.23
Ge 0.2898 0.8109 0.0055  4 S 2.21-2.23
Ge 0.2102 0.3109 0.4945  4 S 2.21-2.23
Pb 0.2492 0.4450 0.8526  5 S 2.82-3.15
Pb 0.2989 0.6671 0.3442  5 S 2.85-3.15
Pb 0.2011 0.1671 0.1558  5 S 2.85-3.15
Pb 0.7011 0.3329 0.6558  5 S 2.85-3.15
Pb 0.7508 0.5550 0.1474  5 S 2.82-3.15
Pb 0.7492 0.0550 0.3526  5 S 2.82-3.15
Pb 0.2508 0.9450 0.6474  5 S 2.82-3.15
Pb 0.7989 0.8329 0.8442  5 S 2.85-3.15
S 0.9576 0.7979 0.3975  1 Ge 2.22
S 0.4280 0.9060 0.2093  1 Ge 2.21
S 0.1248 0.9859 0.8739  1 Ge 2.23
S 0.3699 0.1334 0.4455  1 Ge 2.21
S 0.5424 0.2979 0.1025  1 Ge 2.22
S 0.0424 0.2021 0.6025  1 Ge 2.22
S 0.0720 0.4060 0.2907  1 Ge 2.21
S 0.4576 0.7021 0.8975  1 Ge 2.22
S 0.3752 0.4859 0.6261  1 Ge 2.23
S 0.8752 0.0141 0.1261  1 Ge 2.23
S 0.9280 0.5940 0.7093  1 Ge 2.21
S 0.1301 0.6334 0.0545  1 Ge 2.21
S 0.8699 0.3666 0.9455  1 Ge 2.21
S 0.5720 0.0940 0.7907  1 Ge 2.21
S 0.6248 0.5141 0.3739  1 Ge 2.23
S 0.6301 0.8666 0.5545  1 Ge 2.21

Results
Energy above the most stable polymorph in this dataset = 0.000 eV per atom
ΔE_f (raw) = -0.469 eV/atom

***

(17)
Here is a relaxed structure of Tl2GePbS4 from Alexandria. Energies are from GGA-PBEsol.

Cell lengths 8.8600, 8.9897, 10.3716 Å; angles 90.00, 93.73, 90.00 degrees
With the nearest neighbours (Å) after each atom.
Fractional positions:
Tl 0.5696 0.6900 0.0572  5 S 3.03-3.39
Tl 0.0696 0.8100 0.0572  5 S 3.03-3.39
Tl 0.4304 0.3100 0.9428  5 S 3.03-3.39
Tl 0.0930 0.6100 0.7731  4 S 3.00-3.18
Tl 0.4070 0.1100 0.2269  4 S 3.00-3.18
Tl 0.9070 0.3900 0.2269  4 S 3.00-3.18
Tl 0.9304 0.1900 0.9428  5 S 3.03-3.39
Tl 0.5930 0.8900 0.7731  4 S 3.00-3.18
Ge 0.7059 0.4732 0.7404  4 S 2.19-2.25
Ge 0.2059 0.0268 0.7404  4 S 2.19-2.25
Ge 0.2941 0.5268 0.2596  4 S 2.19-2.25
Ge 0.7941 0.9732 0.2596  4 S 2.19-2.25
Pb 0.4001 0.3037 0.5512  5 S 2.82-3.09
Pb 0.0999 0.8037 0.4488  5 S 2.82-3.09
Pb 0.9001 0.1963 0.5512  5 S 2.82-3.09
Pb 0.5999 0.6963 0.4488  5 S 2.82-3.09
S 0.0264 0.0635 0.2935  1 Ge 2.22
S 0.3270 0.9679 0.9241  1 Ge 2.19
S 0.5264 0.4365 0.2935  1 Ge 2.22
S 0.6780 0.2241 0.7329  1 Ge 2.25
S 0.8422 0.5316 0.5750  1 Ge 2.22
S 0.6730 0.0321 0.0759  1 Ge 2.19
S 0.1578 0.4684 0.4250  1 Ge 2.22
S 0.1730 0.4679 0.0759  1 Ge 2.19
S 0.9736 0.9365 0.7065  1 Ge 2.22
S 0.8220 0.7241 0.2671  1 Ge 2.25
S 0.1780 0.2759 0.7329  1 Ge 2.25
S 0.3220 0.7759 0.2671  1 Ge 2.25
S 0.6578 0.0316 0.4250  1 Ge 2.22
S 0.8270 0.5321 0.9241  1 Ge 2.19
S 0.4736 0.5635 0.7065  1 Ge 2.22
S 0.3422 0.9684 0.5750  1 Ge 2.22

Results
ΔE_f (raw) = -0.440 eV/atom

***

(18)
Here is a relaxed structure of Ge3SbPb from Alexandria. Energies are from GGA-PBEsol.

Cell lengths 5.2417, 5.2417, 5.2417 Å; angles 90.00, 90.00, 90.00 degrees
With the nearest neighbours (Å) after each atom.
Fractional positions:
Pb 0.5000 0.5000 0.5000  12 Ge 3.71
Sb 0.0000 0.0000 0.0000  6 Ge 2.62
Ge 0.0000 0.5000 0.0000  2 Sb 2.62
Ge 0.0000 0.0000 0.5000  2 Sb 2.62
Ge 0.5000 0.0000 0.0000  2 Sb 2.62

Results
ΔE_f (raw) = 0.803 eV/atom

***

(19)
Here is a relaxed structure of Ge2PbSe2 from Alexandria. Energies are from GGA-PBEsol.

Cell lengths 5.2567, 5.6780, 5.2567 Å; angles 62.43, 90.00, 117.57 degrees
With the nearest neighbours (Å) after each atom.
Fractional positions:
Pb 0.0000 0.0000 0.0000  2 Ge 2.99
Ge 0.6521 0.3042 0.3479  1 Ge 2.61, 4 Se 2.76
Ge 0.3479 0.6958 0.6521  1 Ge 2.61, 4 Se 2.76
Se 0.7500 0.5000 0.7500  4 Ge 2.76
Se 0.2500 0.5000 0.2500  4 Ge 2.76

Results
ΔE_f (raw) = -0.038 eV/atom

***

(20)
Here is a relaxed structure of Tl2GePbSe from Alexandria. Energies are from GGA-PBEsol.

Cell lengths 5.4979, 5.7043, 5.7043 Å; angles 90.00, 90.00, 90.00 degrees
With the nearest neighbours (Å) after each atom.
Fractional positions:
Pb 0.0000 0.0000 0.0000  2 Se 2.75, 4 Tl 2.85
Tl 0.0000 0.0000 0.5000  2 Pb 2.85
Tl 0.0000 0.5000 0.0000  2 Pb 2.85
Ge 0.5000 0.5000 0.5000  8 Tl 3.96, 4 Se 4.03
Se 0.5000 0.0000 0.0000  2 Pb 2.75

Results
ΔE_f (raw) = 0.746 eV/atom

***

(21)
Here is a relaxed structure of SiGe2Pb from Alexandria. Energies are from GGA-PBEsol.

Cell lengths 4.8979, 4.8979, 4.8979 Å; angles 60.00, 60.00, 60.00 degrees
With the nearest neighbours (Å) after each atom.
Fractional positions:
Pb 0.5000 0.5000 0.5000  8 Ge 3.00
Ge 0.2500 0.2500 0.2500  4 Pb 3.00, 4 Si 3.00
Ge 0.7500 0.7500 0.7500  4 Pb 3.00, 4 Si 3.00
Si 0.0000 0.0000 0.0000  8 Ge 3.00

Results
ΔE_f (raw) = 0.446 eV/atom

***

(22)
Here is a relaxed structure of SnGePb3 from Alexandria. Energies are from GGA-PBEsol.

Cell lengths 5.4405, 5.4405, 5.4405 Å; angles 90.00, 90.00, 90.00 degrees
With the nearest neighbours (Å) after each atom.
Fractional positions:
Pb 0.0000 0.5000 0.0000  2 Ge 2.72
Pb 0.0000 0.0000 0.5000  2 Ge 2.72
Pb 0.5000 0.0000 0.0000  2 Ge 2.72
Ge 0.0000 0.0000 0.0000  6 Pb 2.72
Sn 0.5000 0.5000 0.5000  12 Pb 3.85

Results
Energy relative to the elements = 0.47 eV/atom

***

(23)
Here is a relaxed structure of Sn2GeTePb from Alexandria. Energies are from GGA-PBEsol.

Cell lengths 5.3216, 5.3216, 5.4908 Å; angles 90.00, 90.00, 90.00 degrees
With the nearest neighbours (Å) after each atom.
Fractional positions:
Pb 0.0000 0.0000 0.5000  2 Ge 2.75
Ge 0.0000 0.0000 0.0000  4 Sn 2.66, 2 Pb 2.75
Te 0.5000 0.5000 0.5000  4 Pb 3.76, 8 Sn 3.82
Sn 0.0000 0.5000 0.0000  2 Ge 2.66
Sn 0.5000 0.0000 0.0000  2 Ge 2.66

Results
ΔE_f (raw) = 0.378 eV/atom